Compound: Pm4TlSiTe2
Source: Alexandria via LeMat-Bulk
Functional: PBE
Structure: optimized geometry

Cell lengths 7.588, 4.356, 7.835 Å; angles 90.00, 108.50, 90.00 degrees
Atoms (fractional coordinates):
Pm (0.230, 0.000, 0.230)
Pm (0.240, 0.500, 0.757)
Pm (0.760, 0.500, 0.243)
Pm (0.770, 0.000, 0.770)
Tl (0.500, 0.000, 0.000)
Si (0.000, 0.500, 0.000)
Te (0.000, 0.000, 0.500)
Te (0.500, 0.500, 0.500)

Summary:
raw formation energy: -968 meV/atom

Compound: RbPuI4
Source: Alexandria via LeMat-Bulk
Functional: PBE
Structure: optimized geometry

Cell lengths 7.718, 7.718, 9.263 Å; angles 104.01, 104.01, 35.70 degrees
Atoms (fractional coordinates):
Rb (0.000, 0.000, 0.000)
Pu (0.500, 0.500, 0.500)
I (0.119, 0.119, 0.415)
I (0.374, 0.374, 0.181)
I (0.626, 0.626, 0.819)
I (0.881, 0.881, 0.585)

Summary:
excess energy over the best structure of this formula in the dataset: 0 meV/atom
raw formation energy: -1200 meV/atom

Compound: Pm8Dy3Y2
Source: Alexandria via LeMat-Bulk
Functional: PBE
Structure: optimized geometry

Cell lengths 6.167, 6.793, 12.029 Å; angles 87.47, 76.34, 63.70 degrees
Atoms (fractional coordinates):
Pm (0.123, 0.091, 0.324)
Pm (0.246, 0.374, 0.738)
Pm (0.273, 0.688, 0.113)
Pm (0.348, 0.831, 0.803)
Pm (0.652, 0.169, 0.197)
Pm (0.727, 0.312, 0.887)
Pm (0.754, 0.626, 0.262)
Pm (0.877, 0.909, 0.676)
Dy (0.193, 0.227, 0.034)
Dy (0.500, 0.000, 0.500)
Dy (0.807, 0.773, 0.966)
Y (0.230, 0.573, 0.429)
Y (0.770, 0.427, 0.571)

Summary:
excess energy over the best structure of this formula in the dataset: 0 meV/atom

Compound: FeTc
Source: Alexandria via LeMat-Bulk
Functional: PBE
Structure: optimized geometry

Cell lengths 5.604, 5.604, 5.604 Å; angles 97.00, 97.00, 139.14 degrees
Atoms (fractional coordinates):
Fe (0.159, 0.159, 0.319)
Fe (0.159, 0.841, 0.000)
Fe (0.841, 0.159, 0.000)
Fe (0.841, 0.841, 0.681)
Tc (0.190, 0.500, 0.690)
Tc (0.500, 0.190, 0.690)
Tc (0.500, 0.810, 0.310)
Tc (0.810, 0.500, 0.310)

Summary:
total energy: -9.049 eV per atom

Compound: NdGa6
Source: Alexandria via LeMat-Bulk
Functional: PBE
Structure: optimized geometry

Cell lengths 6.027, 6.027, 6.027 Å; angles 109.47, 109.47, 109.47 degrees
Atoms (fractional coordinates):
Nd (0.000, 0.000, 0.000)
Ga (0.250, 0.500, 0.750)
Ga (0.250, 0.750, 0.500)
Ga (0.500, 0.250, 0.750)
Ga (0.500, 0.750, 0.250)
Ga (0.750, 0.250, 0.500)
Ga (0.750, 0.500, 0.250)

Summary:
excess energy over the best structure of this formula in the dataset: 385 meV/atom

Compound: RbPHS2
Source: Alexandria via LeMat-Bulk
Functional: PBE
Structure: optimized geometry

Cell lengths 5.546, 5.546, 3.134 Å; angles 90.00, 90.00, 90.00 degrees
Atoms (fractional coordinates):
Rb (0.000, 0.000, 0.000)
P (0.500, 0.500, 0.000)
H (0.500, 0.500, 0.500)
S (0.000, 0.500, 0.500)
S (0.500, 0.000, 0.500)

Summary:
excess energy over the best structure of this formula in the dataset: 0 meV/atom